No. 1
Here is a geometry-optimized Pr2HoBr2N2 structure from the Alexandria database. Energies are from PBE.

E_tot = -6.265 eV per atom

Cell: 8.998 8.998 8.998 Å, 151.12 151.12 41.30°
Sites, in units of the cell vectors:
1 Pr 0.089 0.089 0.000
2 Pr 0.911 0.911 0.000
3 Ho 0.500 0.500 0.000
4 Br 0.325 0.325 0.000
5 Br 0.675 0.675 0.000
6 N 0.000 0.500 0.500
7 N 0.500 0.000 0.500


No. 2
Here is a geometry-optimized NaHoBr3 structure from the Alexandria database. Energies are from PBE.

E_tot = -3.605 eV per atom

Cell: 7.862 7.862 6.659 Å, 90.02 90.02 59.94°
Sites, in units of the cell vectors:
1 Na 0.167 0.167 0.250
2 Na 0.833 0.833 0.750
3 Ho 0.500 0.500 0.000
4 Ho 0.500 0.500 0.500
5 Br 0.160 0.670 0.250
6 Br 0.330 0.330 0.750
7 Br 0.330 0.840 0.750
8 Br 0.670 0.160 0.250
9 Br 0.670 0.670 0.250
10 Br 0.840 0.330 0.750


No. 3
Here is a geometry-optimized Na3HoBr6 structure from the Alexandria database. Energies are from PBE.

E_tot = -3.532 eV per atom

Cell: 7.292 7.762 13.022 Å, 90.00 123.40 90.00°
Sites, in units of the cell vectors:
1 Na 0.000 0.000 0.000
2 Na 0.000 0.500 0.500
3 Na 0.207 0.082 0.736
4 Na 0.207 0.418 0.236
5 Na 0.793 0.582 0.764
6 Na 0.793 0.918 0.264
7 Ho 0.500 0.000 0.500
8 Ho 0.500 0.500 0.000
9 Br 0.122 0.181 0.436
10 Br 0.122 0.319 0.936
11 Br 0.247 0.698 0.417
12 Br 0.247 0.802 0.917
13 Br 0.407 0.066 0.263
14 Br 0.407 0.434 0.763
15 Br 0.593 0.566 0.237
16 Br 0.593 0.934 0.737
17 Br 0.753 0.198 0.083
18 Br 0.753 0.302 0.583
19 Br 0.878 0.681 0.064
20 Br 0.878 0.819 0.564


No. 4
Here is a geometry-optimized NaHoBr2 structure from the Alexandria database. Energies are from PBE.

E_tot = -3.439 eV per atom

Cell: 10.768 10.768 10.768 Å, 20.10 20.10 20.10°
Sites, in units of the cell vectors:
1 Na 0.000 0.000 0.000
2 Ho 0.500 0.500 0.500
3 Br 0.106 0.106 0.106
4 Br 0.894 0.894 0.894


No. 5
Here is a geometry-optimized Na2HoBr6 structure from the Alexandria database. Energies are from PBE.

E_tot = -3.336 eV per atom

Cell: 6.910 6.910 13.117 Å, 90.00 90.00 90.00°
Sites, in units of the cell vectors:
1 Na 0.000 0.000 0.169
2 Na 0.000 0.000 0.831
3 Na 0.500 0.500 0.331
4 Na 0.500 0.500 0.669
5 Ho 0.000 0.000 0.500
6 Ho 0.500 0.500 0.000
7 Br 0.196 0.196 0.345
8 Br 0.196 0.196 0.655
9 Br 0.214 0.214 0.000
10 Br 0.286 0.714 0.500
11 Br 0.304 0.696 0.155
12 Br 0.304 0.696 0.845
13 Br 0.696 0.304 0.155
14 Br 0.696 0.304 0.845
15 Br 0.714 0.286 0.500
16 Br 0.786 0.786 0.000
17 Br 0.804 0.804 0.345
18 Br 0.804 0.804 0.655


No. 6
Here is a geometry-optimized NaHoPbBr6 structure from the Alexandria database. Energies are from PBE.

E_tot = -3.651 eV per atom

Cell: 7.383 7.383 13.101 Å, 90.00 90.00 120.00°
Sites, in units of the cell vectors:
1 Na 0.333 0.667 0.250
2 Na 0.667 0.333 0.750
3 Ho 0.333 0.667 0.750
4 Ho 0.667 0.333 0.250
5 Pb 0.000 0.000 0.000
6 Pb 0.000 0.000 0.500
7 Br 0.018 0.358 0.628
8 Br 0.018 0.660 0.872
9 Br 0.340 0.358 0.872
10 Br 0.340 0.982 0.628
11 Br 0.358 0.018 0.128
12 Br 0.358 0.340 0.372
13 Br 0.642 0.660 0.628
14 Br 0.642 0.982 0.872
15 Br 0.660 0.018 0.372
16 Br 0.660 0.642 0.128
17 Br 0.982 0.340 0.128
18 Br 0.982 0.642 0.372


No. 7
Here is a geometry-optimized RbNaHoBr5 structure from the Alexandria database. Energies are from PBE.

E_tot = -3.664 eV per atom

Cell: 8.224 8.224 10.836 Å, 102.19 102.19 110.32°
Sites, in units of the cell vectors:
1 Rb 0.163 0.837 0.750
2 Rb 0.837 0.163 0.250
3 Na 0.190 0.810 0.250
4 Na 0.810 0.190 0.750
5 Ho 0.500 0.500 0.000
6 Ho 0.500 0.500 0.500
7 Br 0.143 0.248 0.935
8 Br 0.209 0.593 0.417
9 Br 0.248 0.143 0.435
10 Br 0.407 0.791 0.083
11 Br 0.436 0.564 0.750
12 Br 0.564 0.436 0.250
13 Br 0.593 0.209 0.917
14 Br 0.752 0.857 0.565
15 Br 0.791 0.407 0.583
16 Br 0.857 0.752 0.065


No. 8
Here is a geometry-optimized NaHoSn2Br8 structure from the Alexandria database. Energies are from PBE.

E_tot = -3.522 eV per atom

Cell: 6.777 8.723 7.152 Å, 90.00 91.29 90.00°
Sites, in units of the cell vectors:
1 Na 0.000 0.000 0.000
2 Ho 0.000 0.500 0.000
3 Sn 0.500 0.246 0.500
4 Sn 0.500 0.754 0.500
5 Br 0.233 0.263 0.154
6 Br 0.233 0.737 0.154
7 Br 0.234 0.500 0.681
8 Br 0.271 0.000 0.655
9 Br 0.729 0.000 0.345
10 Br 0.766 0.500 0.319
11 Br 0.767 0.263 0.846
12 Br 0.767 0.737 0.846


Number 7 is which compound?
RbNaHoBr5


Number 5 is which compound?
Na2HoBr6


Which of these has the lowest E_tot?
Pr2HoBr2N2


E_tot of number 8 (NaHoSn2Br8)?
-3.522 eV per atom